{"formula": "BaIn2Ni", "functional": "GGA-PBE", "state": "relaxed", "lattice": [[6.151, 0.000, 0.000], [0.000, 12.393, 0.000], [-2.558, 0.000, 3.072]], "species": ["Ba", "Ba", "In", "In", "In", "In", "Ni", "Ni"], "frac_coords": [[0.000, 0.000, 0.000], [0.500, 0.500, 0.000], [0.250, 0.250, 0.500], [0.250, 0.750, 0.500], [0.750, 0.250, 0.500], [0.750, 0.750, 0.500], [0.000, 0.500, 0.000], [0.500, 0.000, 0.000]], "e_tot_ev_per_cell": -24.40, "density_g_cm3": 6.0}